Density functional theory data (PBE) for a geometry-optimized KRb2NbS4 structure.

Values from the calculation:
The value obtained for the density of states at the Fermi level is 0.00 states/eV/atom. The calculation puts the uncorrected formation energy at -1.1428 eV/atom.

a = 8.000 Å, b = 9.157 Å, c = 9.163 Å
α = 71.88°, β = 64.40°, γ = 64.39°
Space group P1 (No. 1)
Asymmetric unit:
K (0.000, 0.000, 0.000)
K (0.500, 0.009, 0.991)
Rb (0.000, 0.515, 0.485)
Rb (0.033, 0.024, 0.480)
Rb (0.500, 0.486, 0.514)
Rb (0.967, 0.519, 0.975)
Nb (0.491, 0.900, 0.611)
Nb (0.508, 0.390, 0.100)
S (0.254, 0.287, 0.202)
S (0.268, 0.765, 0.745)
S (0.312, 0.165, 0.669)
S (0.369, 0.655, 0.153)
S (0.630, 0.847, 0.345)
S (0.688, 0.332, 0.836)
S (0.731, 0.255, 0.235)
S (0.746, 0.798, 0.713)

---

Density functional theory data (PBE) for a geometry-optimized K2RbNbSe4 structure.

Values from the calculation:
The calculation puts the uncorrected formation energy at -1.0387 eV/atom.

a = 15.304 Å, b = 11.061 Å, c = 8.058 Å
α = 90.00°, β = 121.30°, γ = 90.00°
Space group C2 (No. 5)
Asymmetric unit:
K (0.000, 0.000, 0.000)
K (0.000, 0.025, 0.500)
K (0.233, 0.747, 0.548)
Rb (0.000, 0.481, 0.500)
Rb (0.000, 0.528, 0.000)
Nb (0.243, 0.872, 0.990)
Se (0.081, 0.766, 0.797)
Se (0.098, 0.261, 0.887)
Se (0.244, 0.966, 0.267)
Se (0.245, 0.020, 0.769)

---

Density functional theory data (PBE) for a geometry-optimized KRb2NbTl structure.

Values from the calculation:
The value obtained for the density of states at the Fermi level is 0.83 states/eV/atom. For the formation energy, the calculation gives 4.00 eV per formula unit.

a = 6.993 Å, b = 6.993 Å, c = 5.696 Å
α = 90.00°, β = 90.00°, γ = 90.00°
Space group P4/mmm (No. 123)
Asymmetric unit:
K (0.000, 0.000, 0.000)
Rb (0.000, 0.500, 0.500)
Nb (0.500, 0.500, 0.500)
Tl (0.500, 0.500, 0.000)

---

Density functional theory data (PBE) for a geometry-optimized K2RbYNb structure.

Values from the calculation:
The value obtained for the density of states at the Fermi level is 1.68 states/eV/atom. For the formation energy, the calculation gives 5.63 eV per formula unit.

a = 7.256 Å, b = 7.256 Å, c = 5.260 Å
α = 90.00°, β = 90.00°, γ = 90.00°
Space group P4/mmm (No. 123)
Asymmetric unit:
K (0.000, 0.500, 0.000)
Rb (0.000, 0.000, 0.500)
Y (0.500, 0.500, 0.000)
Nb (0.500, 0.500, 0.500)

---

Density functional theory data (PBE) for a geometry-optimized KRbNbZn2 structure.

Values from the calculation:
The value obtained for the density of states at the Fermi level is 1.69 states/eV/atom. For the formation energy, the calculation gives 8.09 eV per formula unit.

a = 5.948 Å, b = 5.948 Å, c = 6.316 Å
α = 90.00°, β = 90.00°, γ = 90.00°
Space group P4/mmm (No. 123)
Asymmetric unit:
K (0.000, 0.000, 0.000)
Rb (0.000, 0.000, 0.500)
Nb (0.500, 0.500, 0.000)
Zn (0.000, 0.500, 0.500)

---

Density functional theory data (PBE) for a geometry-optimized KRb2ZrNb structure.

Values from the calculation:
The value obtained for the density of states at the Fermi level is 1.83 states/eV/atom. For the formation energy, the calculation gives 10.32 eV per formula unit.

a = 5.980 Å, b = 5.980 Å, c = 6.224 Å
α = 90.00°, β = 90.00°, γ = 90.00°
Space group P4/mmm (No. 123)
Asymmetric unit:
K (0.000, 0.000, 0.000)
Rb (0.000, 0.500, 0.000)
Zr (0.500, 0.500, 0.500)
Nb (0.000, 0.000, 0.500)